Entry 1:
Sc2MoS | the Alexandria database | PBE | optimized geometry; crystal system = tetragonal; formation energy without anion corrections = -0.174 eV/atom; mass density = 4.33 Mg/m³; total energy = -7.080 eV/atom
1.0
8.505 0.000 0.000
0.000 8.505 0.000
4.252 4.252 2.310
S Sc Mo
2 4 2
Direct
0.500 0.500 0.000 S
0.250 0.750 0.500 S
0.505 0.125 0.250 Sc
0.875 0.755 0.750 Sc
0.245 0.625 0.250 Sc
0.375 0.495 0.750 Sc
0.000 0.000 0.000 Mo
0.750 0.250 0.500 Mo

---

Entry 2:
ScMoS3 | the Alexandria database | PBE | optimized geometry; crystal system = cubic; formation energy without anion corrections = -0.341 eV/atom; mass density = 3.86 Mg/m³; distance to the lowest polymorph of the same formula = 0 meV per atom; total energy = -6.250 eV/atom
1.0
-0.194 -1.417 -4.447
1.281 -4.296 1.313
-4.488 -1.165 0.567
S Mo Sc
3 1 1
Direct
0.000 0.500 0.000 S
0.000 0.000 0.500 S
0.500 0.000 0.000 S
0.000 0.000 0.000 Mo
0.500 0.500 0.500 Sc

---

Entry 3:
ScMo3S | the Alexandria database | PBE | optimized geometry; crystal system = cubic; formation energy without anion corrections = 2.215 eV/atom; mass density = 5.94 Mg/m³; distance to the lowest polymorph of the same formula = 2024 meV per atom; total energy = -6.376 eV/atom
1.0
4.671 0.000 0.000
0.000 4.671 0.000
0.000 0.000 4.671
Mo S Sc
3 1 1
Direct
0.000 0.000 0.500 Mo
0.000 0.500 0.000 Mo
0.500 0.000 0.000 Mo
0.500 0.500 0.500 S
0.000 0.000 0.000 Sc

---

Entry 4:
Sc2MoS | the Alexandria database | PBE | optimized geometry; crystal system = trigonal; formation energy without anion corrections = -0.270 eV/atom; mass density = 4.66 Mg/m³; total energy = -7.176 eV/atom
1.0
1.872 0.000 8.532
-0.936 1.621 8.532
-0.936 -1.621 8.532
Mo S Sc
1 1 2
Direct
0.000 0.000 0.000 Mo
0.500 0.500 0.500 S
0.101 0.101 0.101 Sc
0.899 0.899 0.899 Sc

---

Entry 5:
ScMo3S | the Alexandria database | PBE | optimized geometry; crystal system = cubic; formation energy without anion corrections = 0.190 eV/atom; mass density = 6.75 Mg/m³; distance to the lowest polymorph of the same formula = 0 meV per atom; total energy = -8.400 eV/atom
1.0
4.477 0.000 0.000
0.000 4.477 0.000
0.000 0.000 4.477
Mo Sc S
3 1 1
Direct
0.500 0.000 0.000 Mo
0.000 0.500 0.000 Mo
0.000 0.000 0.500 Mo
0.500 0.500 0.500 Sc
0.000 0.000 0.000 S

---

Entry 6:
ScTl2Mo15S19 | the Alexandria database | PBE | optimized geometry; crystal system = monoclinic; formation energy without anion corrections = -0.747 eV/atom; mass density = 5.55 Mg/m³; total energy = -7.557 eV/atom
1.0
-4.520 7.983 -2.121
-4.899 -7.198 4.062
4.108 6.883 17.149
Mo S Sc Tl
30 38 2 4
Direct
0.686 0.508 0.869 Mo
0.173 0.159 0.940 Mo
0.827 0.841 0.440 Mo
0.847 0.497 0.750 Mo
0.173 0.159 0.560 Mo
0.175 0.677 0.130 Mo
0.663 0.171 0.750 Mo
0.503 0.190 0.870 Mo
0.845 0.015 0.557 Mo
0.845 0.015 0.943 Mo
0.337 0.829 0.250 Mo
0.314 0.492 0.131 Mo
0.480 0.643 0.250 Mo
0.825 0.323 0.870 Mo
0.314 0.492 0.369 Mo
0.155 0.985 0.443 Mo
0.989 0.830 0.560 Mo
0.497 0.810 0.370 Mo
0.686 0.508 0.631 Mo
0.153 0.503 0.250 Mo
0.989 0.830 0.940 Mo
0.011 0.170 0.440 Mo
0.497 0.810 0.130 Mo
0.175 0.677 0.370 Mo
0.011 0.170 0.060 Mo
0.155 0.985 0.057 Mo
0.827 0.841 0.060 Mo
0.503 0.190 0.630 Mo
0.520 0.357 0.750 Mo
0.825 0.323 0.630 Mo
0.670 0.341 0.967 S
0.360 0.060 0.750 S
0.358 0.970 0.360 S
0.287 0.974 0.946 S
0.970 0.689 0.049 S
0.642 0.030 0.860 S
0.004 0.005 0.342 S
0.985 0.616 0.639 S
0.996 0.995 0.658 S
0.287 0.974 0.554 S
0.985 0.616 0.861 S
0.330 0.659 0.467 S
0.358 0.970 0.140 S
0.713 0.026 0.446 S
0.619 0.628 0.359 S
0.381 0.372 0.641 S
0.640 0.940 0.250 S
0.381 0.372 0.859 S
0.690 0.721 0.950 S
0.004 0.005 0.158 S
0.970 0.689 0.451 S
0.713 0.026 0.054 S
0.690 0.721 0.550 S
0.030 0.311 0.951 S
0.310 0.279 0.050 S
0.030 0.311 0.549 S
0.670 0.341 0.533 S
0.310 0.279 0.450 S
0.036 0.689 0.250 S
0.642 0.030 0.640 S
0.301 0.352 0.250 S
0.015 0.384 0.361 S
0.964 0.311 0.750 S
0.996 0.995 0.842 S
0.330 0.659 0.033 S
0.699 0.648 0.750 S
0.619 0.628 0.141 S
0.015 0.384 0.139 S
0.834 0.812 0.250 Sc
0.166 0.188 0.750 Sc
0.652 0.312 0.125 Tl
0.348 0.688 0.875 Tl
0.652 0.312 0.375 Tl
0.348 0.688 0.625 Tl

---

Entry 7:
ZrScMoS2 | the Alexandria database | PBE | optimized geometry; crystal system = tetragonal; formation energy without anion corrections = 0.769 eV/atom; mass density = 4.21 Mg/m³; total energy = -6.024 eV/atom
1.0
4.735 0.000 0.000
0.000 4.735 0.000
0.000 0.000 5.213
Sc S Mo Zr
1 2 1 1
Direct
0.000 0.000 0.000 Sc
0.500 0.000 0.000 S
0.000 0.500 0.000 S
0.500 0.500 0.500 Mo
0.000 0.000 0.500 Zr

---

Entry 8:
MoSeS | the Alexandria database | PBE | optimized geometry; crystal system = trigonal; formation energy without anion corrections = -0.766 eV/atom; mass density = 3.99 Mg/m³; distance to the lowest polymorph of the same formula = 3 meV per atom; total energy = -6.914 eV/atom
1.0
1.627 -2.819 0.000
1.627 2.819 0.000
0.000 0.000 37.587
Se S Mo
4 4 4
Direct
0.333 0.667 0.949 Se
0.333 0.667 0.859 Se
0.667 0.333 0.141 Se
0.667 0.333 0.051 Se
0.667 0.333 0.756 S
0.333 0.667 0.326 S
0.667 0.333 0.674 S
0.333 0.667 0.244 S
0.333 0.667 0.715 Mo
0.667 0.333 0.285 Mo
0.667 0.333 0.904 Mo
0.333 0.667 0.096 Mo

---

Entry 9:
MoSe2S2 | the Alexandria database | PBE | optimized geometry; crystal system = tetragonal; formation energy without anion corrections = 0.374 eV/atom; mass density = 5.16 Mg/m³; distance to the lowest polymorph of the same formula = 11 meV per atom; total energy = -4.837 eV/atom
1.0
-1.307 4.628 4.111
2.150 -3.601 4.737
4.693 1.921 -0.670
S Mo Se
4 2 4
Direct
0.328 0.828 0.000 S
0.672 0.172 0.000 S
0.172 0.328 0.000 S
0.828 0.672 0.000 S
0.500 0.500 0.000 Mo
0.000 0.000 0.000 Mo
0.719 0.219 0.500 Se
0.281 0.781 0.500 Se
0.219 0.281 0.500 Se
0.781 0.719 0.500 Se

---

Entry 10:
MoSeS | the Alexandria database | PBE | optimized geometry; crystal system = trigonal; formation energy without anion corrections = -0.769 eV/atom; mass density = 5.16 Mg/m³; distance to the lowest polymorph of the same formula = 0 meV per atom; total energy = -6.917 eV/atom
1.0
1.628 -2.820 0.000
1.628 2.820 0.000
0.000 0.000 14.514
S Mo Se
2 2 2
Direct
0.667 0.333 0.636 S
0.333 0.667 0.364 S
0.000 0.000 0.258 Mo
0.000 0.000 0.742 Mo
0.333 0.667 0.141 Se
0.667 0.333 0.859 Se

---

Entry 11:
MoSeS | the Alexandria database | PBE | optimized geometry; crystal system = trigonal; formation energy without anion corrections = -0.767 eV/atom; mass density = 5.24 Mg/m³; distance to the lowest polymorph of the same formula = 3 meV per atom; total energy = -6.914 eV/atom
1.0
-0.392 3.087 -0.954
-1.943 -1.255 2.290
9.149 4.287 10.113
Se Mo S
2 2 2
Direct
0.000 0.000 0.668 Se
0.000 0.000 0.431 Se
0.000 0.000 0.052 Mo
0.333 0.667 0.550 Mo
0.333 0.667 0.160 S
0.333 0.667 0.944 S

---

Entry 12:
Mo3Se2S4 | the Alexandria database | PBE | optimized geometry; crystal system = monoclinic; formation energy without anion corrections = -0.800 eV/atom; mass density = 4.82 Mg/m³; total energy = -7.019 eV/atom
1.0
-1.414 -2.079 2.031
0.880 -0.972 -2.955
19.605 -5.793 7.723
Mo S Se
3 4 2
Direct
0.334 0.669 0.025 Mo
0.333 0.665 0.671 Mo
0.666 0.333 0.344 Mo
0.333 0.666 0.273 S
0.668 0.336 0.954 S
0.333 0.665 0.415 S
0.667 0.335 0.096 S
0.666 0.331 0.749 Se
0.666 0.332 0.593 Se